# 1
Computed, not measured: a relaxed BaZr2SbO8 crystal at the GGA-PBE level of DFT.

Cell and atoms, written as POSCAR:
```
BaZr2SbO8
1.0
4.9565 0.0000 0.0000
0.0000 7.1979 0.0000
-0.1659 0.0000 4.9574
Ba Zr Sb O
1 2 1 8
direct
0.0000 0.0000 0.0000 Ba
0.5000 0.2747 0.5000 Zr
0.5000 0.7253 0.5000 Zr
0.0000 0.5000 0.0000 Sb
0.2028 0.3036 0.2016 O
0.2028 0.6964 0.2016 O
0.2962 0.5000 0.7027 O
0.3538 0.0000 0.6436 O
0.6462 0.0000 0.3564 O
0.7038 0.5000 0.2973 O
0.7972 0.3036 0.7984 O
0.7972 0.6964 0.7984 O
```

Theoretical density in g/cm3: 5.35
Magnetic moment in μB/f.u.: 0.982
Energy relative to the elements, uncorrected in meV per atom: -2386

# 2
Computed, not measured: a relaxed Pm3Y2Er5 crystal at the GGA-PBE level of DFT.

Cell and atoms, written as POSCAR:
```
Pm3Y2Er5
1.0
5.3387 -7.8677 0.0000
5.3387 7.8677 0.0000
-5.3152 0.0000 7.8349
Pm Y Er
6 4 10
direct
0.0222 0.2701 0.0476 Pm
0.2327 0.7673 0.7500 Pm
0.2701 0.0222 0.5476 Pm
0.7299 0.9778 0.4524 Pm
0.7673 0.2327 0.2500 Pm
0.9778 0.7299 0.9524 Pm
0.2300 0.4672 0.4522 Y
0.4672 0.2300 0.9522 Y
0.5328 0.7700 0.0478 Y
0.7700 0.5328 0.5478 Y
0.0246 0.9754 0.7500 Er
0.1436 0.3725 0.7659 Er
0.2706 0.7294 0.2500 Er
0.3725 0.1436 0.2659 Er
0.4714 0.5286 0.2500 Er
0.5286 0.4714 0.7500 Er
0.6275 0.8564 0.7341 Er
0.7294 0.2706 0.7500 Er
0.8564 0.6275 0.2341 Er
0.9754 0.0246 0.2500 Er
```

Calculated formation energy in eV per formula unit: 1.965
Theoretical density in g/cm3: 7.31
Magnetic moment in μB/f.u.: 0.000

# 3
Computed, not measured: a relaxed KCu2I2Cl crystal at the GGA-PBE level of DFT.

Cell and atoms, written as POSCAR:
```
KCu2I2Cl
1.0
6.2904 -4.0292 0.0000
6.2904 4.0292 0.0000
0.0000 0.0000 7.5316
K Cu I Cl
2 4 4 2
direct
0.1620 0.8380 0.5000 K
0.8380 0.1620 0.0000 K
0.1654 0.4948 0.9334 Cu
0.4948 0.1654 0.4334 Cu
0.5052 0.8346 0.9334 Cu
0.8346 0.5052 0.4334 Cu
0.1771 0.4207 0.2761 I
0.4207 0.1771 0.7761 I
0.5793 0.8229 0.2761 I
0.8229 0.5793 0.7761 I
0.2150 0.7850 0.9018 Cl
0.7850 0.2150 0.4018 Cl
```

Theoretical density in g/cm3: 3.96
Magnetic moment in μB/f.u.: 0.000
Energy relative to the elements, uncorrected in meV per atom: -686

# 4
Computed, not measured: a relaxed BeTe2Pt crystal at the GGA-PBE level of DFT.

Cell and atoms, written as POSCAR:
```
BeTe2Pt
1.0
5.0790 0.0000 0.0000
0.0000 5.0790 0.0000
0.0000 0.0000 3.0946
Be Te Pt
1 2 1
direct
0.0000 0.0000 0.0000 Be
0.0000 0.5000 0.5000 Te
0.5000 0.0000 0.5000 Te
0.5000 0.5000 0.0000 Pt
```

Theoretical density in g/cm3: 9.55
Magnetic moment in μB/f.u.: 0.000
Energy relative to the elements, uncorrected in meV per atom: 428